# 1
Compound: SmPbAu
Source: the Alexandria database
Functional: PBE
Structure: relaxed

CIF file:
```
data_SmPbAu
_chemical_formula_sum 'Sm2 Pb2 Au2'
_cell_length_a 5.2057
_cell_length_b 5.2057
_cell_length_c 6.5578
_cell_angle_alpha 90.00
_cell_angle_beta 90.00
_cell_angle_gamma 120.00
_space_group_name_H-M_alt 'P 63/m m c'
_space_group_IT_number 194
_space_group_name_Hall '-P 6c 2c'
loop_
_atom_site_label
_atom_site_type_symbol
_atom_site_fract_x
_atom_site_fract_y
_atom_site_fract_z
Sm1 Sm 0.3333 0.6667 0.2500
Pb1 Pb 0.0000 0.0000 0.0000
Au1 Au 0.3333 0.6667 0.7500
```

Values from the calculation:
Final energy: -4.5293 eV per atom
Energy of formation: -1.88 eV/f.u.

# 2
Compound: Sr2GaPdN
Source: the Alexandria database
Functional: PBE
Structure: relaxed

CIF file:
```
data_Sr2GaPdN
_chemical_formula_sum 'Sr4 Ga2 Pd2 N2'
_cell_length_a 7.093
_cell_length_b 3.940
_cell_length_c 8.907
_cell_angle_alpha 90.00
_cell_angle_beta 109.66
_cell_angle_gamma 90.00
_space_group_name_H-M_alt 'P 1 21/m 1'
_space_group_IT_number 11
_space_group_name_Hall '-P 2yb'
loop_
_atom_site_label
_atom_site_type_symbol
_atom_site_fract_x
_atom_site_fract_y
_atom_site_fract_z
Sr1 Sr 0.183 0.250 0.376
Sr2 Sr 0.201 0.250 0.963
Ga1 Ga 0.468 0.750 0.254
Pd1 Pd 0.310 0.750 0.693
N1 N 0.183 0.750 0.165
```

Values from the calculation:
Final energy: -4.6008 eV per atom
E_form (uncorrected): -0.619 eV/atom

# 3
Compound: DyTlAgCl6
Source: the Alexandria database
Functional: PBE
Structure: relaxed

CIF file:
```
data_DyTlAgCl6
_chemical_formula_sum 'Dy2 Tl2 Ag2 Cl12'
_cell_length_a 6.8628
_cell_length_b 6.8628
_cell_length_c 13.3489
_cell_angle_alpha 90.00
_cell_angle_beta 90.00
_cell_angle_gamma 120.00
_space_group_name_H-M_alt 'P -3 1 c'
_space_group_IT_number 163
_space_group_name_Hall '-P 3 2c'
loop_
_atom_site_label
_atom_site_type_symbol
_atom_site_fract_x
_atom_site_fract_y
_atom_site_fract_z
Dy1 Dy 0.3333 0.6667 0.2500
Tl1 Tl 0.0000 0.0000 0.0000
Ag1 Ag 0.3333 0.6667 0.7500
Cl1 Cl 0.0009 0.3613 0.1371
```

Values from the calculation:
Final energy: -3.6636 eV per atom
E_form (uncorrected): -1.341 eV/atom

# 4
Compound: MnReH
Source: the Alexandria database
Functional: PBE
Structure: relaxed

CIF file:
```
data_MnReH
_chemical_formula_sum 'Mn4 Re4 H4'
_cell_length_a 9.178
_cell_length_b 2.714
_cell_length_c 4.747
_cell_angle_alpha 90.00
_cell_angle_beta 100.01
_cell_angle_gamma 90.00
_space_group_name_H-M_alt 'C 1 2/m 1'
_space_group_IT_number 12
_space_group_name_Hall '-C 2y'
loop_
_atom_site_label
_atom_site_type_symbol
_atom_site_fract_x
_atom_site_fract_y
_atom_site_fract_z
Mn1 Mn 0.107 0.000 0.355
Re1 Re 0.121 0.500 0.889
H1 H 0.191 0.500 0.549
```

Values from the calculation:
Final energy: -8.2401 eV per atom

# 5
Compound: GaNi2Pt
Source: the Alexandria database
Functional: PBE
Structure: relaxed

CIF file:
```
data_GaNi2Pt
_chemical_formula_sum 'Ga4 Ni8 Pt4'
_cell_length_a 5.919
_cell_length_b 5.919
_cell_length_c 5.919
_cell_angle_alpha 90.00
_cell_angle_beta 90.00
_cell_angle_gamma 90.00
_space_group_name_H-M_alt 'F -4 3 m'
_space_group_IT_number 216
_space_group_name_Hall 'F -4 2 3'
loop_
_atom_site_label
_atom_site_type_symbol
_atom_site_fract_x
_atom_site_fract_y
_atom_site_fract_z
Ga1 Ga 0.000 0.000 0.000
Ni1 Ni 0.000 0.000 0.500
Ni2 Ni 0.250 0.250 0.250
Pt1 Pt 0.250 0.250 0.750
```

Values from the calculation:
Final energy: -5.4796 eV per atom
Energy of formation: -1.29 eV/f.u.

# 6
Compound: KAs2Cl
Source: the Alexandria database
Functional: PBE
Structure: relaxed

CIF file:
```
data_KAs2Cl
_chemical_formula_sum 'K2 As4 Cl2'
_cell_length_a 3.840
_cell_length_b 5.246
_cell_length_c 9.490
_cell_angle_alpha 90.00
_cell_angle_beta 90.00
_cell_angle_gamma 90.00
_space_group_name_H-M_alt 'C m m m'
_space_group_IT_number 65
_space_group_name_Hall '-C 2 2'
loop_
_atom_site_label
_atom_site_type_symbol
_atom_site_fract_x
_atom_site_fract_y
_atom_site_fract_z
K1 K 0.000 0.000 0.000
As1 As 0.000 0.500 0.287
Cl1 Cl 0.000 0.000 0.500
```

Values from the calculation:
Final energy: -2.6875 eV per atom
Energy relative to the lowest polymorph listed for this composition: 1075 meV/atom
E_form (uncorrected): 0.373 eV/atom

# 7
Compound: NbGeN
Source: the Alexandria database
Functional: PBE
Structure: relaxed

CIF file:
```
data_NbGeN
_chemical_formula_sum 'Nb4 Ge4 N4'
_cell_length_a 2.944
_cell_length_b 10.957
_cell_length_c 5.111
_cell_angle_alpha 90.00
_cell_angle_beta 90.00
_cell_angle_gamma 90.00
_space_group_name_H-M_alt 'C m c 21'
_space_group_IT_number 36
_space_group_name_Hall 'C 2c -2'
loop_
_atom_site_label
_atom_site_type_symbol
_atom_site_fract_x
_atom_site_fract_y
_atom_site_fract_z
Nb1 Nb 0.000 0.066 0.000
Ge1 Ge 0.000 0.314 0.111
N1 N 0.000 0.439 0.822
```

Values from the calculation:
Final energy: -8.1407 eV per atom
Energy relative to the lowest polymorph listed for this composition: 0 meV/atom
E_form (uncorrected): -0.470 eV/atom

# 8
Compound: CoAgTe2As
Source: the Alexandria database
Functional: PBE
Structure: relaxed

CIF file:
```
data_CoAgTe2As
_chemical_formula_sum 'Co1 Ag1 Te2 As1'
_cell_length_a 5.502
_cell_length_b 5.502
_cell_length_c 4.819
_cell_angle_alpha 90.00
_cell_angle_beta 90.00
_cell_angle_gamma 90.00
_space_group_name_H-M_alt 'P 4/m m m'
_space_group_IT_number 123
_space_group_name_Hall '-P 4 2'
loop_
_atom_site_label
_atom_site_type_symbol
_atom_site_fract_x
_atom_site_fract_y
_atom_site_fract_z
Co1 Co 0.000 0.000 0.000
Ag1 Ag 0.500 0.500 0.500
Te1 Te 0.000 0.500 0.500
As1 As 0.500 0.500 0.000
```

Values from the calculation:
Final energy: -2.9899 eV per atom
E_form (uncorrected): 1.188 eV/atom

# 9
Compound: Y3BeNi3
Source: the Alexandria database
Functional: PBE
Structure: relaxed

CIF file:
```
data_Y3BeNi3
_chemical_formula_sum 'Y12 Be4 Ni12'
_cell_length_a 10.079
_cell_length_b 3.792
_cell_length_c 14.322
_cell_angle_alpha 90.00
_cell_angle_beta 108.63
_cell_angle_gamma 90.00
_space_group_name_H-M_alt 'C 1 2/m 1'
_space_group_IT_number 12
_space_group_name_Hall '-C 2y'
loop_
_atom_site_label
_atom_site_type_symbol
_atom_site_fract_x
_atom_site_fract_y
_atom_site_fract_z
Y1 Y 0.025 0.000 0.389
Y2 Y 0.104 0.000 0.922
Y3 Y 0.243 0.000 0.233
Be1 Be 0.237 0.500 0.395
Ni1 Ni 0.044 0.500 0.240
Ni2 Ni 0.107 0.500 0.078
Ni3 Ni 0.176 0.500 0.537
```

Values from the calculation:
Final energy: -6.1552 eV per atom
Energy of formation: -2.62 eV/f.u.

# 10
Compound: CdHgSe2
Source: the Alexandria database
Functional: PBE
Structure: relaxed

CIF file:
```
data_CdHgSe2
_chemical_formula_sum 'Cd4 Hg4 Se8'
_cell_length_a 7.147
_cell_length_b 7.147
_cell_length_c 7.147
_cell_angle_alpha 90.00
_cell_angle_beta 90.00
_cell_angle_gamma 90.00
_space_group_name_H-M_alt 'F -4 3 m'
_space_group_IT_number 216
_space_group_name_Hall 'F -4 2 3'
loop_
_atom_site_label
_atom_site_type_symbol
_atom_site_fract_x
_atom_site_fract_y
_atom_site_fract_z
Cd1 Cd 0.000 0.000 0.000
Hg1 Hg 0.250 0.250 0.250
Se1 Se 0.000 0.000 0.500
Se2 Se 0.250 0.250 0.750
```

Values from the calculation:
Final energy: -1.8213 eV per atom
Energy relative to the lowest polymorph listed for this composition: 643 meV/atom
E_form (uncorrected): 0.225 eV/atom

# 11
Compound: Tb19Er4Sc6
Source: the Alexandria database
Functional: PBE
Structure: relaxed

CIF file:
```
data_Tb19Er4Sc6
_chemical_formula_sum 'Tb38 Er8 Sc12'
_cell_length_a 12.269
_cell_length_b 12.269
_cell_length_c 12.269
_cell_angle_alpha 90.00
_cell_angle_beta 90.00
_cell_angle_gamma 90.00
_space_group_name_H-M_alt 'I 2 3'
_space_group_IT_number 197
_space_group_name_Hall 'I 2 2 3'
loop_
_atom_site_label
_atom_site_type_symbol
_atom_site_fract_x
_atom_site_fract_y
_atom_site_fract_z
Tb1 Tb 0.000 0.000 0.000
Tb2 Tb 0.000 0.000 0.265
Tb3 Tb 0.058 0.273 0.282
Er1 Er 0.179 0.179 0.821
Sc1 Sc 0.000 0.384 0.500
```

Values from the calculation:
Final energy: -4.5811 eV per atom
Energy of formation: 11.36 eV/f.u.

Number 1 is which compound?
SmPbAu